No. 1
InPBr2 PBE-GGA relaxed; energy above the lowest structure with this stoichiometry = 50.7 kJ per mole of atoms; E_form (uncorrected) = 0.13 eV per atom; crystal system = trigonal; space group = No. 166
1.0
3.165 -4.995 8.105
5.221 -6.532 5.545
6.254 -3.407 7.067
Br In P
2 1 1
Direct
0.917 0.917 0.917
0.083 0.083 0.083
0.500 0.500 0.500
0.000 0.000 0.000

***

No. 2
InP2PdBr PBE-GGA relaxed; E_form (uncorrected) = 1.08 eV per atom; crystal system = tetragonal; space group = No. 123
1.0
5.016 0.000 0.000
0.000 5.456 0.000
0.000 0.000 5.016
P In Br Pd
2 1 1 1
Direct
0.000 0.000 0.500
0.500 0.000 0.000
0.000 0.000 0.000
0.000 0.500 0.000
0.500 0.500 0.500

***

No. 3
Pm6InP2Br3 PBE-GGA relaxed; E_form (uncorrected) = -1.23 eV per atom; crystal system = monoclinic; space group = No. 12
1.0
-2.970 -1.512 2.424
6.127 -4.417 4.751
0.672 9.253 3.091
Br Pm P In
3 6 2 1
Direct
0.834 0.166 0.667
0.500 0.500 0.000
0.166 0.834 0.333
0.017 0.261 0.035
0.334 0.872 0.668
0.666 0.128 0.332
0.983 0.739 0.965
0.322 0.437 0.643
0.678 0.563 0.357
0.170 0.343 0.340
0.830 0.657 0.660
0.500 0.000 0.000

***

No. 4
Pr6InP2Br3 PBE-GGA relaxed; E_form (uncorrected) = -1.24 eV per atom; crystal system = monoclinic; space group = No. 12
1.0
-3.832 -1.676 0.084
3.516 -7.904 2.733
-0.058 5.758 8.095
Pr In Br P
6 1 3 2
Direct
0.984 0.740 0.967
0.666 0.126 0.333
0.334 0.874 0.667
0.016 0.260 0.033
0.322 0.438 0.645
0.678 0.562 0.355
0.500 0.000 0.000
0.835 0.166 0.669
0.500 0.500 0.000
0.165 0.834 0.331
0.170 0.342 0.339
0.830 0.658 0.661

***

No. 5
Rb2InPBr6 PBE-GGA relaxed; E_form (uncorrected) = -0.94 eV per atom; crystal system = tetragonal; space group = No. 139
1.0
7.931 0.000 0.000
0.000 7.931 0.000
3.965 3.965 5.602
Br P In Rb
6 1 1 2
Direct
0.733 0.267 0.000
0.267 0.267 0.466
0.267 0.267 0.000
0.733 0.733 0.534
0.733 0.733 0.000
0.267 0.733 0.000
0.500 0.500 0.000
0.000 0.000 0.000
0.250 0.750 0.500
0.750 0.250 0.500

***

No. 6
InP2SBr PBE-GGA relaxed; energy above the lowest structure with this stoichiometry = 0.0 kJ per mole of atoms; E_form (uncorrected) = 1.04 eV per atom; crystal system = tetragonal; space group = No. 123
1.0
-4.995 1.464 0.305
-1.348 -4.867 1.298
0.611 1.095 4.738
S P Br In
1 2 1 1
Direct
0.000 0.000 0.500
0.000 0.500 0.000
0.500 0.000 0.000
0.500 0.500 0.500
0.000 0.000 0.000

***

No. 7
InP2SBr PBE-GGA relaxed; energy above the lowest structure with this stoichiometry = 8.8 kJ per mole of atoms; E_form (uncorrected) = 1.13 eV per atom; crystal system = tetragonal; space group = No. 123
1.0
-3.450 3.559 0.524
-2.375 -1.709 -4.035
-2.603 -2.931 2.774
P Br S In
2 1 1 1
Direct
0.000 0.500 0.000
0.500 0.000 0.000
0.000 0.000 0.000
0.000 0.000 0.500
0.500 0.500 0.500

***

No. 8
InPWBr2 PBE-GGA relaxed; E_form (uncorrected) = 1.34 eV per atom; crystal system = tetragonal; space group = No. 123
1.0
-4.920 0.734 -0.686
-1.052 -4.919 2.280
-0.308 2.162 4.522
P In Br W
1 1 2 1
Direct
0.000 0.000 0.000
0.000 0.500 0.000
0.500 0.000 0.000
0.000 0.000 0.500
0.500 0.500 0.500

***

No. 9
PaIn3Br7 PBE-GGA relaxed; E_form (uncorrected) = -1.01 eV per atom; crystal system = monoclinic; space group = No. 8
1.0
-4.920 0.233 5.805
4.718 2.300 5.515
-1.645 8.218 3.888
Br In Pa
7 3 1
Direct
0.788 0.788 0.901
0.151 0.151 0.111
0.316 0.950 0.743
0.612 0.149 0.217
0.149 0.612 0.217
0.950 0.316 0.743
0.634 0.634 0.402
0.832 0.241 0.482
0.509 0.509 0.908
0.241 0.832 0.482
0.944 0.944 0.043

***

No. 10
PaIn3Br8 PBE-GGA relaxed; E_form (uncorrected) = -0.97 eV per atom; crystal system = cubic; space group = No. 221
1.0
-4.918 4.652 3.115
2.310 -2.091 6.769
5.100 5.433 -0.062
In Br Pa
3 8 1
Direct
0.500 0.500 0.000
0.500 0.000 0.500
0.000 0.500 0.500
0.773 0.227 0.227
0.773 0.773 0.227
0.773 0.773 0.773
0.227 0.773 0.773
0.227 0.773 0.227
0.773 0.227 0.773
0.227 0.227 0.773
0.227 0.227 0.227
0.000 0.000 0.000

***

No. 11
PaIn2Br7 PBE-GGA relaxed; E_form (uncorrected) = -1.09 eV per atom; crystal system = monoclinic; space group = No. 15
1.0
-8.251 -2.920 -1.631
-0.986 -6.567 -7.553
-2.459 -9.192 4.598
In Br Pa
4 14 2
Direct
0.740 0.409 0.186
0.260 0.591 0.814
0.666 0.909 0.686
0.334 0.091 0.314
0.926 0.350 0.473
0.009 0.046 0.290
0.029 0.354 0.888
0.346 0.454 0.210
0.272 0.146 0.612
0.568 0.250 0.750
0.432 0.750 0.250
0.654 0.546 0.790
0.074 0.650 0.527
0.728 0.854 0.388
0.991 0.954 0.710
0.971 0.646 0.112
0.250 0.850 0.973
0.750 0.150 0.027
0.887 0.250 0.750
0.113 0.750 0.250

***

No. 12
PaIn2Br8 PBE-GGA relaxed; energy above the lowest structure with this stoichiometry = 1.5 kJ per mole of atoms; E_form (uncorrected) = -1.02 eV per atom; crystal system = monoclinic; space group = No. 12
1.0
10.089 0.000 0.000
-5.045 6.315 -1.647
0.000 -0.789 7.035
Br In Pa
8 2 1
Direct
0.050 0.725 0.756
0.876 0.752 0.231
0.573 0.146 0.778
0.124 0.248 0.769
0.675 0.725 0.756
0.325 0.275 0.244
0.427 0.854 0.222
0.950 0.275 0.244
0.347 0.694 0.539
0.653 0.306 0.461
0.000 0.000 0.000

***

No. 13
PaInBr2 PBE-GGA relaxed; E_form (uncorrected) = -0.35 eV per atom; crystal system = trigonal; space group = No. 166
1.0
3.607 0.000 0.000
1.804 3.124 0.000
1.804 1.041 11.021
Br Pa In
2 1 1
Direct
0.082 0.082 0.753
0.918 0.918 0.247
0.000 0.000 0.000
0.500 0.500 0.500

***

No. 14
PaIn6Br12 PBE-GGA relaxed; E_form (uncorrected) = -0.88 eV per atom; crystal system = trigonal; space group = No. 148
1.0
-4.045 -8.294 -0.232
0.308 1.751 -9.058
8.746 -2.653 1.294
Br In Pa
12 6 1
Direct
0.985 0.071 0.295
0.417 0.177 0.564
0.929 0.705 0.015
0.015 0.929 0.705
0.177 0.564 0.417
0.564 0.417 0.177
0.823 0.436 0.583
0.436 0.583 0.823
0.071 0.295 0.985
0.705 0.015 0.929
0.295 0.985 0.071
0.583 0.823 0.436
0.346 0.627 0.164
0.654 0.373 0.836
0.373 0.836 0.654
0.627 0.164 0.346
0.164 0.346 0.627
0.836 0.654 0.373
0.000 0.000 0.000

***

No. 15
PaIn2Br8 PBE-GGA relaxed; energy above the lowest structure with this stoichiometry = 0.0 kJ per mole of atoms; E_form (uncorrected) = -1.04 eV per atom; crystal system = monoclinic; space group = No. 12
1.0
1.684 8.924 3.158
-5.649 -0.819 -5.840
-6.290 -3.961 3.381
Br In Pa
8 2 1
Direct
0.200 0.676 0.676
0.800 0.324 0.324
0.829 0.855 0.256
0.264 0.239 0.239
0.171 0.145 0.744
0.736 0.761 0.761
0.171 0.744 0.145
0.829 0.256 0.855
0.670 0.097 0.097
0.330 0.903 0.903
0.000 0.000 0.000

***

No. 16
Pa2InBr11 PBE-GGA relaxed; E_form (uncorrected) = -1.29 eV per atom; crystal system = orthorhombic; space group = No. 72
1.0
11.532 0.000 6.011
5.289 9.781 3.920
1.220 0.103 11.727
Br Pa In
22 4 2
Direct
0.500 0.500 0.500
0.427 0.890 0.372
0.688 0.628 0.110
0.395 0.820 0.921
0.196 0.202 0.798
0.696 0.298 0.702
0.105 0.579 0.680
0.188 0.610 0.128
0.365 0.320 0.421
0.865 0.921 0.820
0.000 0.000 0.000
0.573 0.110 0.628
0.804 0.798 0.202
0.895 0.421 0.320
0.312 0.372 0.890
0.605 0.180 0.079
0.073 0.128 0.610
0.927 0.872 0.390
0.812 0.390 0.872
0.635 0.680 0.579
0.304 0.702 0.298
0.135 0.079 0.180
0.839 0.156 0.844
0.339 0.344 0.656
0.161 0.844 0.156
0.661 0.656 0.344
0.750 0.750 0.750
0.250 0.250 0.250

***

No. 17
Rb2PaInBr6 PBE-GGA relaxed; E_form (uncorrected) = -1.31 eV per atom; crystal system = trigonal; space group = No. 166
1.0
8.819 0.000 0.000
4.410 7.638 0.000
4.410 2.546 13.032
Br In Rb Pa
12 2 4 2
Direct
0.362 0.362 0.395
0.638 0.119 0.605
0.251 0.808 0.132
0.119 0.638 0.605
0.749 0.192 0.868
0.808 0.251 0.132
0.362 0.881 0.395
0.192 0.192 0.868
0.808 0.808 0.132
0.192 0.749 0.868
0.881 0.362 0.395
0.638 0.638 0.605
0.413 0.413 0.762
0.587 0.587 0.238
0.267 0.267 0.199
0.869 0.869 0.394
0.131 0.131 0.606
0.733 0.733 0.801
0.500 0.500 0.500
0.000 0.000 0.000

***

No. 18
Rb2PaInBr8 PBE-GGA relaxed; E_form (uncorrected) = -1.38 eV per atom; crystal system = triclinic; space group = No. 2
1.0
7.832 -0.159 -0.001
-0.165 7.142 -0.010
0.009 0.009 10.126
Br Rb In Pa
8 2 1 1
Direct
0.876 0.220 0.806
0.875 0.220 0.195
0.698 0.788 0.000
0.124 0.780 0.194
0.302 0.269 0.500
0.698 0.731 0.500
0.302 0.212 0.000
0.125 0.780 0.805
0.500 0.501 0.260
0.500 0.499 0.740
0.000 0.000 0.500
0.000 0.000 0.000

***

No. 19
RbPaInBr6 PBE-GGA relaxed; E_form (uncorrected) = -1.38 eV per atom; crystal system = trigonal; space group = No. 163
1.0
8.299 0.000 0.000
-4.149 7.187 0.000
0.000 0.000 12.958
Br In Rb Pa
12 2 2 2
Direct
0.324 0.384 0.875
0.384 0.060 0.125
0.324 0.940 0.625
0.676 0.060 0.375
0.940 0.324 0.125
0.616 0.940 0.875
0.940 0.616 0.375
0.060 0.384 0.625
0.676 0.616 0.125
0.060 0.676 0.875
0.616 0.676 0.625
0.384 0.324 0.375
0.000 0.000 0.000
0.000 0.000 0.500
0.333 0.667 0.250
0.667 0.333 0.750
0.667 0.333 0.250
0.333 0.667 0.750

***

No. 20
PaTlInBr6 PBE-GGA relaxed; E_form (uncorrected) = -1.18 eV per atom; crystal system = trigonal; space group = No. 163
1.0
-7.229 1.320 3.353
4.310 -6.495 2.118
5.837 7.069 9.800
Tl Br In Pa
2 12 2 2
Direct
0.000 0.000 0.500
0.000 0.000 0.000
0.618 0.955 0.870
0.382 0.338 0.370
0.662 0.618 0.130
0.955 0.338 0.130
0.045 0.662 0.870
0.045 0.382 0.630
0.338 0.382 0.870
0.338 0.955 0.630
0.382 0.045 0.130
0.955 0.618 0.370
0.618 0.662 0.630
0.662 0.045 0.370
0.667 0.333 0.750
0.333 0.667 0.250
0.667 0.333 0.250
0.333 0.667 0.750

***

No. 21
InPb2Br PBE-GGA relaxed; energy above the lowest structure with this stoichiometry = 2.6 kJ per mole of atoms; E_form (uncorrected) = -0.18 eV per atom; crystal system = orthorhombic; space group = No. 47
1.0
-2.484 -2.357 -0.959
2.213 -3.937 3.942
-3.508 2.059 4.026
In Pb Br
1 2 1
Direct
0.000 0.500 0.500
0.000 0.000 0.000
0.500 0.500 0.000
0.500 0.000 0.500